# LiTmAgIr, optimized geometry, DFT PBE-GGA
data_LiTmAgIr
_symmetry_space_group_name_H-M 'F -4 3 m'
_symmetry_Int_Tables_number 216
_symmetry_space_group_name_Hall 'F -4 2 3'
_cell_length_a 6.609
_cell_length_b 6.609
_cell_length_c 6.609
_cell_angle_alpha 90.00
_cell_angle_beta 90.00
_cell_angle_gamma 90.00
loop_
_atom_site_label
_atom_site_type_symbol
_atom_site_fract_x
_atom_site_fract_y
_atom_site_fract_z
Li1 Li 0.000 0.000 0.000
Tm1 Tm 0.000 0.000 0.500
Ag1 Ag 0.250 0.250 0.750
Ir1 Ir 0.250 0.250 0.250
# calculated density	10.95	g/cm3
# M_tot	0.00	μB/atom
# formation energy	-370	meV per atom